Entry 1:
6
Lattice="0.000 3.599 3.599 3.599 0.000 3.599 3.599 3.599 0.000" Properties=species:S:1:pos:R:3 comment="PBE-GGA CeYNi4, optimized geometry" spacegroup="No. 216" vol_a3_per_cell=93 delta_e_f_ev_per_atom=-0.38 dos_at_fermi_per_ev_atom=0.9794 dft_energy_ev_per_cell=-37.80 pbc="T T T"
Ce 0.000 0.000 0.000
Y 5.399 5.399 5.399
Ni 2.700 2.700 2.700
Ni 4.498 4.498 2.700
Ni 4.498 2.700 4.498
Ni 2.700 4.498 4.498

=====

Entry 2:
5
Lattice="4.385 0.000 0.000 0.000 4.385 0.000 0.000 0.000 4.325" Properties=species:S:1:pos:R:3 comment="PBE-GGA LiLaBeIr2, optimized geometry" spacegroup="No. 123" vol_a3_per_cell=83 delta_e_f_ev_per_atom=-0.44 dos_at_fermi_per_ev_atom=0.2361 dft_energy_ev_per_cell=-30.49 pbc="T T T"
Li 0.000 0.000 0.000
La 2.192 2.192 0.000
Be 0.000 0.000 2.163
Ir 0.000 2.192 2.163
Ir 2.192 0.000 2.163

=====

Entry 3:
4
Lattice="4.093 0.000 0.000 0.000 4.093 0.000 0.000 0.000 5.074" Properties=species:S:1:pos:R:3 comment="PBE-GGA CaTa2Hg, optimized geometry" spacegroup="No. 123" vol_a3_per_cell=85 delta_e_f_ev_per_atom=0.56 dos_at_fermi_per_ev_atom=1.3932 dft_energy_ev_per_cell=-23.76 pbc="T T T"
Ca 0.000 0.000 0.000
Ta 0.000 2.046 2.537
Ta 2.046 0.000 2.537
Hg 2.046 2.046 0.000

=====

Entry 4:
8
Lattice="-6.141 6.141 2.532 6.141 -6.141 2.532 6.141 6.141 -2.532" Properties=species:S:1:pos:R:3 comment="PBE-GGA K2HfTa, optimized geometry" spacegroup="No. 122" e_above_lowest_polymorph_mev_per_atom=0.0 vol_a3_per_cell=382 delta_e_f_ev_per_atom=1.79 dos_at_fermi_per_ev_atom=1.3852 dft_energy_ev_per_cell=-33.64 pbc="T T T"
K 9.211 1.546 -0.633
K 1.546 3.070 0.633
K -3.070 4.595 1.899
K 4.595 3.070 3.166
Hf 6.141 0.000 1.266
Hf 0.000 0.000 2.532
Ta 0.000 0.000 0.000
Ta 0.000 6.141 1.266

=====

Entry 5:
9
Lattice="7.439 0.000 0.000 -3.719 6.442 0.000 0.000 0.000 9.112" Properties=species:S:1:pos:R:3 comment="PBE-GGA VSnHgI6, optimized geometry" spacegroup="No. 149" vol_a3_per_cell=437 formation_energy_uncorrected_ev_per_atom=-0.362 dos_at_fermi_per_ev_atom=1.0738 dft_energy_ev_per_cell=-25.98 pbc="T T T"
V 0.000 0.000 0.000
Sn 3.719 2.147 0.000
Hg 0.000 4.295 4.556
I 2.230 0.042 1.626
I 1.152 1.911 7.486
I 5.208 0.042 7.486
I 2.641 4.489 1.626
I 6.287 1.911 1.626
I 4.798 4.489 7.486

=====

Entry 6:
5
Lattice="5.425 0.000 0.000 0.000 5.425 0.000 0.000 0.000 5.859" Properties=species:S:1:pos:R:3 comment="PBE-GGA KLi2CdPb, optimized geometry" spacegroup="No. 123" vol_a3_per_cell=172 delta_e_f_ev_per_atom=-0.06 dos_at_fermi_per_ev_atom=0.3791 dft_energy_ev_per_cell=-9.83 pbc="T T T"
K 0.000 0.000 0.000
Li 0.000 2.713 2.930
Li 2.713 0.000 2.930
Cd 2.713 2.713 0.000
Pb 2.713 2.713 2.930

=====

Entry 7:
4
Lattice="0.000 3.220 3.220 3.220 0.000 3.220 3.220 3.220 0.000" Properties=species:S:1:pos:R:3 comment="PBE-GGA RbRhF2, optimized geometry" spacegroup="No. 225" e_above_lowest_polymorph_mev_per_atom=374.2 vol_a3_per_cell=67 formation_energy_uncorrected_ev_per_atom=-0.954 dos_at_fermi_per_ev_atom=0.8937 dft_energy_ev_per_cell=-15.88 pbc="T T T"
Rb 0.000 0.000 0.000
Rh 3.220 3.220 3.220
F 1.610 1.610 1.610
F 4.830 4.830 4.830

=====

Entry 8:
4
Lattice="1.827 1.055 13.020 -1.827 1.055 13.020 0.000 -2.110 13.020" Properties=species:S:1:pos:R:3 comment="PBE-GGA SrPm2Dy, optimized geometry" spacegroup="No. 166" e_above_lowest_polymorph_mev_per_atom=95.4 vol_a3_per_cell=151 delta_e_f_ev_per_atom=0.19 dos_at_fermi_per_ev_atom=1.4408 dft_energy_ev_per_cell=-15.02 pbc="T T T"
Sr 0.000 0.000 0.000
Pm 0.000 0.000 3.645
Pm 0.000 0.000 35.415
Dy 0.000 0.000 19.530

=====

Entry 9:
6
Lattice="4.070 0.000 0.000 0.000 3.744 0.000 -2.010 0.000 5.527" Properties=species:S:1:pos:R:3 comment="PBE-GGA ZrCF, optimized geometry" spacegroup="No. 11" vol_a3_per_cell=84 formation_energy_uncorrected_ev_per_atom=-1.355 dos_at_fermi_per_ev_atom=0.1954 dft_energy_ev_per_cell=-47.42 pbc="T T T"
Zr 0.014 0.936 1.746
Zr 2.046 2.808 3.781
C -0.014 2.808 2.925
C 2.074 0.936 2.603
F 0.822 2.808 0.249
F 1.238 0.936 5.279

=====

Entry 10:
4
Lattice="4.204 0.000 0.000 0.000 4.204 0.000 0.000 0.000 4.105" Properties=species:S:1:pos:R:3 comment="PBE-GGA U2RuRh, optimized geometry" spacegroup="No. 123" vol_a3_per_cell=73 delta_e_f_ev_per_atom=-0.18 dos_at_fermi_per_ev_atom=1.7208 dft_energy_ev_per_cell=-39.92 pbc="T T T"
U 0.000 2.102 0.000
U 2.102 0.000 0.000
Ru 0.000 0.000 2.053
Rh 2.102 2.102 2.053

=====

Entry 11:
5
Lattice="5.067 0.000 0.000 0.000 5.067 0.000 0.000 0.000 5.067" Properties=species:S:1:pos:R:3 comment="PBE-GGA RbAlAs3, optimized geometry" spacegroup="No. 221" e_above_lowest_polymorph_mev_per_atom=0.0 vol_a3_per_cell=130 delta_e_f_ev_per_atom=0.16 dos_at_fermi_per_ev_atom=0.6305 dft_energy_ev_per_cell=-17.88 pbc="T T T"
Rb 0.000 0.000 0.000
Al 2.534 2.534 2.534
As 0.000 2.534 2.534
As 2.534 0.000 2.534
As 2.534 2.534 0.000

=====

Entry 12:
8
Lattice="4.331 0.000 0.000 -2.165 3.750 0.000 0.000 0.000 15.157" Properties=species:S:1:pos:R:3 comment="PBE-GGA Ac4TeS3, optimized geometry" spacegroup="No. 164" vol_a3_per_cell=246 formation_energy_uncorrected_ev_per_atom=-1.821 dos_at_fermi_per_ev_atom=0.4954 dft_energy_ev_per_cell=-46.52 pbc="T T T"
Ac 0.000 2.500 5.327
Ac 0.000 2.500 13.317
Ac 2.165 1.250 1.840
Ac 2.165 1.250 9.830
Te 0.000 0.000 7.578
S 0.000 0.000 0.000
S 0.000 0.000 3.596
S 0.000 0.000 11.561

=====

Entry 13:
12
Lattice="3.071 -5.316 0.000 3.071 5.316 0.000 -2.043 0.000 11.539" Properties=species:S:1:pos:R:3 comment="PBE-GGA Tb6Sm3Tm2Sc, optimized geometry" spacegroup="No. 12" vol_a3_per_cell=377 delta_e_f_ev_per_atom=0.03 dos_at_fermi_per_ev_atom=1.3686 dft_energy_ev_per_cell=-56.87 pbc="T T T"
Tb 1.017 1.760 2.813
Tb -0.009 0.000 8.723
Tb 1.017 -1.760 2.813
Tb 3.083 1.760 8.726
Tb 4.108 0.000 2.816
Tb 3.083 -1.760 8.726
Sm 2.050 3.544 5.770
Sm 2.050 0.000 5.770
Sm 2.050 -3.544 5.770
Tm 3.071 1.770 0.000
Tm 3.071 -1.770 0.000
Sc 0.000 0.000 0.000

=====

Entry 14:
19
Lattice="5.847 3.376 5.937 -5.847 3.376 5.937 0.000 -6.752 5.937" Properties=species:S:1:pos:R:3 comment="PBE-GGA Ca2Nd15Ho2, optimized geometry" spacegroup="No. 166" vol_a3_per_cell=703 delta_e_f_ev_per_atom=0.23 dos_at_fermi_per_ev_atom=1.4508 dft_energy_ev_per_cell=-80.38 pbc="T T T"
Ca 0.000 0.000 3.020
Ca 0.000 0.000 14.792
Nd -2.924 -1.688 5.937
Nd 0.000 -3.446 5.467
Nd -2.985 1.723 5.467
Nd -1.718 -2.975 8.906
Nd -3.436 0.000 8.906
Nd -2.985 -1.723 12.346
Nd -2.924 1.688 11.875
Nd 1.718 -2.975 8.906
Nd 0.000 3.376 5.937
Nd -1.718 2.975 8.906
Nd 2.985 1.723 5.467
Nd 3.436 0.000 8.906
Nd 1.718 2.975 8.906
Nd 2.985 -1.723 12.346
Nd 0.000 3.446 12.346
Ho 0.000 0.000 7.216
Ho 0.000 0.000 10.597

=====

Entry 15:
12
Lattice="2.657 1.534 8.796 -2.657 1.534 8.796 0.000 -3.068 8.796" Properties=species:S:1:pos:R:3 comment="PBE-GGA NdSm2Ru9, optimized geometry" spacegroup="No. 166" vol_a3_per_cell=215 delta_e_f_ev_per_atom=-0.05 dos_at_fermi_per_ev_atom=1.4659 dft_energy_ev_per_cell=-98.34 pbc="T T T"
Nd 0.000 0.000 0.000
Sm 0.000 0.000 3.692
Sm 0.000 0.000 22.694
Ru -1.363 -0.787 10.960
Ru 0.000 0.000 8.908
Ru 0.000 -1.574 15.427
Ru -1.363 0.787 15.427
Ru 0.000 0.000 13.193
Ru 1.363 -0.787 10.960
Ru 0.000 1.574 10.960
Ru 0.000 0.000 17.479
Ru 1.363 0.787 15.427

=====

Entry 16:
4
Lattice="4.108 -1.588 0.000 4.108 1.588 0.000 -0.693 0.000 5.313" Properties=species:S:1:pos:R:3 comment="PBE-GGA CdP2W, optimized geometry" spacegroup="No. 12" e_above_lowest_polymorph_mev_per_atom=216.2 vol_a3_per_cell=69 delta_e_f_ev_per_atom=0.19 dos_at_fermi_per_ev_atom=0.5051 dft_energy_ev_per_cell=-23.92 pbc="T T T"
Cd 0.000 0.000 0.000
P 1.339 0.000 3.568
P 6.185 0.000 1.745
W 3.762 0.000 2.657

=====

Entry 17:
8
Lattice="-5.929 5.929 2.656 5.929 -5.929 2.656 5.929 5.929 -2.656" Properties=species:S:1:pos:R:3 comment="PBE-GGA Ba2LaOs, optimized geometry" spacegroup="No. 122" e_above_lowest_polymorph_mev_per_atom=216.9 vol_a3_per_cell=373 delta_e_f_ev_per_atom=0.41 dos_at_fermi_per_ev_atom=1.8142 dft_energy_ev_per_cell=-36.73 pbc="T T T"
Ba 1.157 2.964 0.664
Ba -2.964 4.772 1.992
Ba -1.157 8.893 0.664
Ba 2.964 7.086 1.992
La 5.929 0.000 1.328
La 0.000 0.000 2.656
Os 0.000 0.000 0.000
Os 0.000 5.929 1.328

=====

Entry 18:
4
Lattice="0.000 3.367 3.367 3.367 0.000 3.367 3.367 3.367 0.000" Properties=species:S:1:pos:R:3 comment="PBE-GGA PaGaPdPt, optimized geometry" spacegroup="No. 216" vol_a3_per_cell=76 delta_e_f_ev_per_atom=-0.69 dos_at_fermi_per_ev_atom=1.3247 dft_energy_ev_per_cell=-26.53 pbc="T T T"
Pa 0.000 0.000 0.000
Ga 3.367 3.367 3.367
Pd 5.051 5.051 5.051
Pt 1.684 1.684 1.684

=====

Entry 19:
4
Lattice="2.768 0.000 0.000 0.000 5.335 0.000 -0.371 0.000 5.990" Properties=species:S:1:pos:R:3 comment="PBE-GGA K2CuRu, optimized geometry" spacegroup="No. 10" e_above_lowest_polymorph_mev_per_atom=377.2 vol_a3_per_cell=88 delta_e_f_ev_per_atom=1.07 dos_at_fermi_per_ev_atom=0.5486 dft_energy_ev_per_cell=-11.27 pbc="T T T"
K -0.046 0.000 1.489
K 2.444 0.000 4.501
Cu 1.199 2.668 2.995
Ru 1.384 2.668 0.000

=====

Entry 20:
11
Lattice="8.430 0.000 0.000 -4.215 7.301 0.000 0.000 0.000 2.779" Properties=species:S:1:pos:R:3 comment="PBE-GGA Zn4Pt7, optimized geometry" spacegroup="No. 187" vol_a3_per_cell=171 delta_e_f_ev_per_atom=-0.33 dos_at_fermi_per_ev_atom=0.2907 dft_energy_ev_per_cell=-51.00 pbc="T T T"
Zn 0.000 0.000 0.000
Zn -1.998 3.714 1.390
Zn 1.998 3.714 1.390
Zn 0.000 7.174 1.390
Pt 0.000 2.709 0.000
Pt -1.869 5.946 0.000
Pt 1.967 1.135 1.390
Pt 1.869 5.946 0.000
Pt 4.215 2.434 0.000
Pt 6.464 1.135 1.390
Pt 4.215 5.030 1.390